Computed, not measured: an optimized crystal structure of Pm4Al3NiO12 at the PBE+U level of DFT.

Summary:
Calculated total energy   -7.510 eV per atom
Theoretical density   7.0 Mg/m³
DOS at the Fermi energy   10.8 states/eV per cell

abc: 7.5489 7.5489 7.5489
angles: 90.00 90.00 90.00
Space group Im-3m (No. 229)
Symmetry-distinct sites (fractional):
Pm1 0.2500 0.2500 0.2500
Al1 0.0000 0.0000 0.5000
Ni1 0.0000 0.0000 0.0000
O1 0.0000 0.0000 0.2547
O2 0.0000 0.2500 0.5000